# PrTm3Tc

An optimized crystal structure of PrTm3Tc (GGA-PBE, Alexandria).

a b c (Å): 4.4671 8.5340 7.4979
angles (deg): 90.00 90.00 90.00
Closest atoms and distances in Å follow each position.
Fractional coordinates of all 10 atoms:
Pr (0.7500, 0.2500, 0.4381)  1 Tc 3.05
Pr (0.2500, 0.7500, 0.5619)  1 Tc 3.05
Tm (0.2500, 0.4497, 0.1668)  3 Tc 2.96-2.99
Tm (0.7500, 0.5503, 0.8332)  3 Tc 2.96-2.99
Tm (0.2500, 0.0503, 0.1668)  3 Tc 2.96-2.99
Tm (0.7500, 0.9497, 0.8332)  3 Tc 2.96-2.99
Tm (0.2500, 0.2500, 0.7862)  2 Tc 2.89
Tm (0.7500, 0.7500, 0.2138)  2 Tc 2.89
Tc (0.7500, 0.2500, 0.0309)  8 Tm 2.89-2.99, 1 Pr 3.05
Tc (0.2500, 0.7500, 0.9691)  8 Tm 2.89-2.99, 1 Pr 3.05

Results
The calculation puts the volume at 28.584 A^3/atom. The calculation puts the formation enthalpy at 0 K at -0.024 eV per atom. The calculation puts the energy above the most stable polymorph in this dataset at 0 meV/atom.

# BeRuBr2

An optimized crystal structure of BeRuBr2 (GGA-PBE, Alexandria).

a b c (Å): 3.5432 3.5432 7.7018
angles (deg): 90.00 90.00 126.75
Closest atoms and distances in Å follow each position.
Fractional coordinates of all 4 atoms:
Ru (0.5000, 0.5000, 0.2500)  4 Br 2.72
Br (0.0000, 0.0000, 0.9631)  2 Be 2.28
Br (0.0000, 0.0000, 0.5369)  2 Be 2.28
Be (0.5000, 0.5000, 0.7500)  4 Br 2.28

Results
The calculation puts the volume at 19.368 A^3/atom. Its formation energy (no corrections) is 0.66 eV per atom. The calculation puts the energy above the most stable polymorph in this dataset at 664 meV/atom.

# BaLi2Ru

An optimized crystal structure of BaLi2Ru (GGA-PBE, Alexandria).

a b c (Å): 5.5155 5.5155 5.5155
angles (deg): 140.04 124.36 70.68
Closest atoms and distances in Å follow each position.
Fractional coordinates of all 4 atoms:
Ba (0.2702, 0.7702, 0.5000)  2 Ru 2.96, 8 Li 3.19-3.22
Li (0.9843, 0.9843, 0.0000)  4 Li 3.02-3.35, 4 Ba 3.19-3.21, 4 Ru 3.21
Li (0.7223, 0.2223, 0.5000)  2 Ru 2.60
Ru (0.5232, 0.5232, 0.0000)  2 Li 2.60

Results
The calculation puts the volume at 21.829 A^3/atom. The calculation puts the formation enthalpy at 0 K at 0.495 eV per atom. The calculation puts the energy above the most stable polymorph in this dataset at 123 meV/atom.

# K2Cd2Ag

An optimized crystal structure of K2Cd2Ag (GGA-PBE, Alexandria).

a b c (Å): 4.1642 4.1642 10.8696
angles (deg): 78.96 78.96 90.00
Closest atoms and distances in Å follow each position.
Fractional coordinates of all 5 atoms:
K (0.4034, 0.4034, 0.1933)  4 Ag 3.57, 4 Cd 3.83
K (0.5966, 0.5966, 0.8067)  4 Ag 3.57, 4 Cd 3.83
Ag (0.0000, 0.0000, 0.0000)  8 K 3.57
Cd (0.7500, 0.2500, 0.5000)  4 Cd 2.94
Cd (0.2500, 0.7500, 0.5000)  4 Cd 2.94

Results
The calculation puts the volume at 36.287 A^3/atom. The calculation puts the formation enthalpy at 0 K at 0.031 eV per atom. The calculation puts the energy above the most stable polymorph in this dataset at 89 meV/atom.

# LiSm2ThTe4

An optimized crystal structure of LiSm2ThTe4 (GGA-PBE, Alexandria).

a b c (Å): 4.3900 7.7283 7.5987
angles (deg): 108.96 90.00 90.00
Closest atoms and distances in Å follow each position.
Fractional coordinates of all 8 atoms:
Li (0.5000, 0.5000, 0.0000)  6 Te 3.01-3.06
Sm (0.5000, 0.0000, 0.5000)  6 Te 3.20-3.22
Sm (0.0000, 0.5000, 0.5000)  6 Te 3.11
Th (0.0000, 0.0000, 0.0000)  6 Te 3.13-3.15
Te (0.5000, 0.2611, 0.2443)  1 Li 3.01, 3 Sm 3.11-3.22, 2 Th 3.15
Te (0.5000, 0.7389, 0.7557)  1 Li 3.01, 3 Sm 3.11-3.22, 2 Th 3.15
Te (0.0000, 0.2616, 0.7601)  2 Li 3.06, 3 Sm 3.11-3.20, 1 Th 3.13
Te (0.0000, 0.7384, 0.2399)  2 Li 3.06, 3 Sm 3.11-3.20, 1 Th 3.13

Results
The calculation puts the volume at 30.477 A^3/atom. Its formation energy (no corrections) is -1.25 eV per atom.

# Sm7Y12Pu

An optimized crystal structure of Sm7Y12Pu (GGA-PBE, Alexandria).

a b c (Å): 9.8110 9.8110 9.8110
angles (deg): 109.47 109.47 109.47
Closest atoms and distances in Å follow each position.
Fractional coordinates of all 20 atoms:
Sm (0.5000, 0.5000, 0.0000)  12 Y 4.00-4.04
Sm (0.0000, 0.5000, 0.5000)  12 Y 4.00-4.04
Sm (0.5000, 0.0000, 0.5000)  12 Y 4.00-4.04
Sm (0.5000, 0.5000, 0.5000)  6 Y 2.83
Sm (0.0000, 0.0000, 0.5000)  6 Y 2.83
Sm (0.5000, 0.0000, 0.0000)  6 Y 2.83
Sm (0.0000, 0.5000, 0.0000)  6 Y 2.83
Y (0.5043, 0.7518, 0.7525)  2 Sm 2.83
Y (0.9994, 0.7518, 0.2475)  2 Sm 2.83
Y (0.4957, 0.2482, 0.2475)  2 Sm 2.83
Y (0.0006, 0.2482, 0.7525)  2 Sm 2.83
Y (0.7525, 0.0006, 0.2482)  2 Sm 2.83
Y (0.7525, 0.5043, 0.7518)  2 Sm 2.83
Y (0.2475, 0.9994, 0.7518)  2 Sm 2.83
Y (0.2475, 0.4957, 0.2482)  2 Sm 2.83
Y (0.7518, 0.7525, 0.5043)  2 Sm 2.83
Y (0.2482, 0.2475, 0.4957)  2 Sm 2.83
Y (0.7518, 0.2475, 0.9994)  2 Sm 2.83
Y (0.2482, 0.7525, 0.0006)  2 Sm 2.83
Pu (0.0000, 0.0000, 0.0000)  12 Y 3.97

Results
The calculation puts the volume at 36.349 A^3/atom. The calculation puts the formation enthalpy at 0 K at 0.684 eV per atom. The calculation puts the energy above the most stable polymorph in this dataset at 451 meV/atom.

# KHg3Sb

An optimized crystal structure of KHg3Sb (GGA-PBE, Alexandria).

a b c (Å): 5.3935 8.8612 7.7146
angles (deg): 114.05 90.00 107.72
Closest atoms and distances in Å follow each position.
Fractional coordinates of all 10 atoms:
K (0.8638, 0.7276, 0.9889)  7 Hg 3.51-3.82, 4 Sb 3.69-3.92
K (0.1362, 0.2724, 0.0111)  7 Hg 3.51-3.82, 4 Sb 3.69-3.92
Hg (0.0599, 0.1199, 0.4112)  2 Hg 2.89-2.94, 2 Sb 3.09
Hg (0.9401, 0.8801, 0.5888)  2 Hg 2.89-2.94, 2 Sb 3.09
Hg (0.3685, 0.7369, 0.2922)  2 Sb 3.38-3.50, 4 Hg 3.41-3.56, 3 K 3.55-3.58
Hg (0.6315, 0.2631, 0.7078)  2 Sb 3.38-3.50, 4 Hg 3.41-3.56, 3 K 3.55-3.58
Hg (0.2515, 0.5031, 0.6341)  1 Hg 2.94, 1 Sb 3.05
Hg (0.7485, 0.4969, 0.3659)  1 Hg 2.94, 1 Sb 3.05
Sb (0.5489, 0.0978, 0.2067)  1 Sb 2.90, 3 Hg 3.05-3.09
Sb (0.4511, 0.9022, 0.7933)  1 Sb 2.90, 3 Hg 3.05-3.09

Results
The calculation puts the volume at 31.746 A^3/atom. Its formation energy (no corrections) is -0.18 eV per atom. The calculation puts the energy above the most stable polymorph in this dataset at 6 meV/atom.

# LiGdScCr

An optimized crystal structure of LiGdScCr (GGA-PBE, Alexandria).

a b c (Å): 4.9485 4.9485 4.9485
angles (deg): 60.00 60.00 60.00
Closest atoms and distances in Å follow each position.
Fractional coordinates of all 4 atoms:
Sc (0.5000, 0.5000, 0.5000)  4 Cr 3.03, 4 Li 3.03
Cr (0.2500, 0.2500, 0.2500)  4 Gd 3.03, 4 Sc 3.03
Gd (0.0000, 0.0000, 0.0000)  4 Cr 3.03, 4 Li 3.03
Li (0.7500, 0.7500, 0.7500)  4 Sc 3.03, 4 Gd 3.03

Results
The calculation puts the volume at 21.421 A^3/atom. The calculation puts the formation enthalpy at 0 K at 0.220 eV per atom.